A relaxed ZnCuAsPd crystal, computed with PBE.

Output
crystal system = cubic
uncorrected energy = -3.75 eV/atom
polymorph energy (0 for the lowest one) = 45 meV per atom

abc: 6.227 6.227 6.227
angles: 90.00 90.00 90.00
Space group F-43m (No. 216)
Unique sites:
Zn1 0.000 0.000 0.000 x4
Cu1 0.000 0.000 0.500 x4
As1 0.250 0.250 0.250 x4
Pd1 0.250 0.250 0.750 x4